Computed, not measured: a relaxed structure of Sr2LaI2N2 at the PBE level of DFT.

Results
Calculated total energy (eV/atom): -5.163
ΔE_f (raw) (eV/f.u.): -8.1
SG: I4/mmm

Lattice parameters (Å, degrees): 4.626 4.626 10.333 102.94 102.94 90.00
Element x y z (fractional)
Sr (0.414, 0.414, 0.827)
Sr (0.586, 0.586, 0.173)
La (0.000, 0.000, 0.000)
I (0.170, 0.170, 0.340)
I (0.830, 0.830, 0.660)
N (0.000, 0.500, 0.000)
N (0.500, 0.000, 0.000)

Computed, not measured: a relaxed structure of Ba4GeN4 at the PBE level of DFT.

Results
Calculated total energy (eV/atom): -5.498
ΔE_f (raw) (eV/f.u.): -3.9
SG: P-1

Lattice parameters (Å, degrees): 7.372 7.038 9.219 73.99 81.28 58.51
Element x y z (fractional)
Ba (0.769, 0.658, 0.129)
Ba (0.231, 0.342, 0.871)
Ba (0.726, 0.248, 0.944)
Ba (0.274, 0.752, 0.056)
Ba (0.707, 0.561, 0.544)
Ba (0.293, 0.439, 0.456)
Ba (0.173, 0.939, 0.634)
Ba (0.827, 0.061, 0.366)
Ge (0.765, 0.872, 0.754)
Ge (0.235, 0.128, 0.246)
N (0.969, 0.689, 0.617)
N (0.031, 0.311, 0.383)
N (0.963, 0.809, 0.909)
N (0.037, 0.191, 0.091)
N (0.554, 0.787, 0.837)
N (0.446, 0.213, 0.163)
N (0.341, 0.810, 0.348)
N (0.659, 0.190, 0.652)

Computed, not measured: a relaxed structure of RbTiOs2 at the PBE level of DFT.

Results
Energy of formation (meV per atom): 1291
Calculated total energy (eV/atom): -6.539
ΔE to the lowest computed polymorph (eV per atom): 0.0000
SG: I-42d

Lattice parameters (Å, degrees): 4.997 4.997 9.257 74.34 74.34 90.00
Element x y z (fractional)
Os (0.348, 0.125, 0.250)
Os (0.402, 0.625, 0.250)
Os (0.375, 0.652, 0.750)
Os (0.875, 0.598, 0.750)
Rb (0.000, 0.000, 0.000)
Rb (0.750, 0.250, 0.500)
Ti (0.500, 0.500, 0.000)
Ti (0.250, 0.750, 0.500)

Computed, not measured: a relaxed structure of CrRu2Se at the PBE level of DFT.

Results
Calculated total energy (eV/atom): -7.694
ΔE_f (raw) (eV/f.u.): 0.9
SG: P4/mmm

Lattice parameters (Å, degrees): 3.055 3.055 6.167 90.00 90.00 90.00
Element x y z (fractional)
Cr (0.500, 0.500, 0.750)
Ru (0.000, 0.000, 0.986)
Ru (0.000, 0.000, 0.514)
Se (0.500, 0.500, 0.250)

Computed, not measured: a relaxed structure of DyHoIrPb at the PBE level of DFT.

Results
Energy of formation (meV per atom): -687
Calculated total energy (eV/atom): -6.124
ΔE to the lowest computed polymorph (eV per atom): 0.0000
SG: P4mm

Lattice parameters (Å, degrees): 3.488 3.488 8.015 90.00 90.00 90.00
Element x y z (fractional)
Dy (0.500, 0.500, 0.775)
Ho (0.500, 0.500, 0.367)
Ir (0.000, 0.000, 0.570)
Pb (0.000, 0.000, 0.073)

Computed, not measured: a relaxed structure of Mo3Pt at the PBE level of DFT.

Results
Energy of formation (meV per atom): 31
Calculated total energy (eV/atom): -9.603
ΔE to the lowest computed polymorph (eV per atom): 0.1574
SG: P4/mmm

Lattice parameters (Å, degrees): 3.302 3.302 5.826 90.00 90.00 90.00
Element x y z (fractional)
Mo (0.000, 0.000, 0.008)
Mo (0.000, 0.000, 0.492)
Mo (0.500, 0.500, 0.250)
Pt (0.500, 0.500, 0.750)

Computed, not measured: a relaxed structure of La3OsO7 at the PBE level of DFT.

Results
Calculated total energy (eV/atom): -8.249
ΔE_f (raw) (eV/f.u.): -30.0
SG: Cmcm

Lattice parameters (Å, degrees): 6.761 6.761 7.703 90.00 90.00 111.77
Element x y z (fractional)
La (0.500, 0.500, 0.000)
La (0.500, 0.500, 0.500)
La (0.418, 0.970, 0.750)
La (0.582, 0.030, 0.250)
La (0.970, 0.418, 0.750)
La (0.030, 0.582, 0.250)
Os (0.000, 0.000, 0.000)
Os (0.000, 0.000, 0.500)
O (0.603, 0.341, 0.750)
O (0.397, 0.659, 0.250)
O (0.341, 0.603, 0.750)
O (0.659, 0.397, 0.250)
O (0.308, 0.059, 0.038)
O (0.692, 0.941, 0.538)
O (0.059, 0.308, 0.462)
O (0.941, 0.692, 0.962)
O (0.922, 0.922, 0.250)
O (0.078, 0.078, 0.750)
O (0.059, 0.308, 0.038)
O (0.941, 0.692, 0.538)
O (0.308, 0.059, 0.462)
O (0.692, 0.941, 0.962)

Computed, not measured: a relaxed structure of DyGaAgRh at the PBE level of DFT.

Results
Energy of formation (meV per atom): -459
Calculated total energy (eV/atom): -4.917
SG: F-43m

Lattice parameters (Å, degrees): 4.705 4.705 4.705 60.00 60.00 60.00
Element x y z (fractional)
Rh (0.750, 0.750, 0.750)
Ga (0.000, 0.000, 0.000)
Ag (0.250, 0.250, 0.250)
Dy (0.500, 0.500, 0.500)

Computed, not measured: a relaxed structure of Tm2Mg2Sc at the PBE level of DFT.

Results
Energy of formation (meV per atom): -31
Calculated total energy (eV/atom): -3.724
ΔE to the lowest computed polymorph (eV per atom): 0.0000
SG: Cmcm

Lattice parameters (Å, degrees): 3.579 5.286 13.822 90.00 97.42 90.00
Element x y z (fractional)
Tm (0.041, 0.750, 0.082)
Tm (0.959, 0.250, 0.918)
Tm (0.237, 0.750, 0.475)
Tm (0.763, 0.250, 0.525)
Mg (0.640, 0.750, 0.279)
Mg (0.360, 0.250, 0.721)
Mg (0.440, 0.750, 0.879)
Mg (0.560, 0.250, 0.121)
Sc (0.844, 0.750, 0.688)
Sc (0.156, 0.250, 0.312)

Computed, not measured: a relaxed structure of YHo4Tm6 at the PBE level of DFT.

Results
Energy of formation (meV per atom): 127
Calculated total energy (eV/atom): -4.564
ΔE to the lowest computed polymorph (eV per atom): 0.0000
SG: Cmcm

Lattice parameters (Å, degrees): 5.568 5.547 25.394 90.00 90.00 120.13
Element x y z (fractional)
Y (0.829, 0.658, 0.250)
Y (0.171, 0.342, 0.750)
Ho (0.835, 0.669, 0.542)
Ho (0.495, 0.990, 0.122)
Ho (0.165, 0.331, 0.458)
Ho (0.505, 0.010, 0.878)
Ho (0.835, 0.669, 0.958)
Ho (0.165, 0.331, 0.042)
Ho (0.505, 0.010, 0.622)
Ho (0.495, 0.990, 0.378)
Tm (0.500, 0.000, 0.000)
Tm (0.500, 0.000, 0.500)
Tm (0.162, 0.324, 0.319)
Tm (0.838, 0.676, 0.681)
Tm (0.838, 0.676, 0.819)
Tm (0.162, 0.324, 0.181)
Tm (0.829, 0.659, 0.397)
Tm (0.171, 0.341, 0.603)
Tm (0.171, 0.341, 0.897)
Tm (0.829, 0.659, 0.103)
Tm (0.495, 0.990, 0.250)
Tm (0.505, 0.010, 0.750)

Computed, not measured: a relaxed structure of Mg2TlAg2 at the PBE level of DFT.

Results
Energy of formation (meV per atom): 3
Calculated total energy (eV/atom): -2.249
ΔE to the lowest computed polymorph (eV per atom): 0.1123
SG: I4/mmm

Lattice parameters (Å, degrees): 3.906 3.906 7.944 75.77 75.77 90.00
Element x y z (fractional)
Tl (0.000, 0.000, 0.000)
Mg (0.391, 0.391, 0.217)
Mg (0.609, 0.609, 0.783)
Ag (0.750, 0.250, 0.500)
Ag (0.250, 0.750, 0.500)

Computed, not measured: a relaxed structure of PaPbBr6 at the PBE level of DFT.

Results
Calculated total energy (eV/atom): -4.146
ΔE_f (raw) (eV/f.u.): -9.9
SG: R-3

Lattice parameters (Å, degrees): 7.280 7.278 7.885 62.47 62.49 59.98
Element x y z (fractional)
Pa (0.000, 0.000, 0.000)
Pb (0.500, 0.500, 0.500)
Br (0.071, 0.403, 0.758)
Br (0.767, 0.071, 0.759)
Br (0.598, 0.232, 0.241)
Br (0.233, 0.929, 0.241)
Br (0.929, 0.597, 0.242)
Br (0.402, 0.768, 0.759)

Computed, not measured: a relaxed structure of TiNi2Ag at the PBE level of DFT.

Results
Energy of formation (meV per atom): 224
Calculated total energy (eV/atom): -5.353
ΔE to the lowest computed polymorph (eV per atom): 0.4008
SG: I-42d

Lattice parameters (Å, degrees): 6.680 6.680 5.427 52.02 52.02 90.00
Element x y z (fractional)
Ni (0.601, 0.125, 0.250)
Ni (0.149, 0.625, 0.250)
Ni (0.375, 0.399, 0.750)
Ni (0.875, 0.851, 0.750)
Ag (0.000, 0.000, 0.000)
Ag (0.750, 0.250, 0.500)
Ti (0.500, 0.500, 0.000)
Ti (0.250, 0.750, 0.500)

Computed, not measured: a relaxed structure of BaZrGa2 at the PBE level of DFT.

Results
Energy of formation (meV per atom): -328
Calculated total energy (eV/atom): -4.459
ΔE to the lowest computed polymorph (eV per atom): 0.0000
SG: P4/mmm

Lattice parameters (Å, degrees): 3.699 3.699 7.421 90.00 90.00 90.00
Element x y z (fractional)
Ga (0.000, 0.000, 0.822)
Ga (0.000, 0.000, 0.178)
Ba (0.500, 0.500, 0.500)
Zr (0.500, 0.500, 0.000)

Computed, not measured: a relaxed structure of Be2CrCl at the PBE level of DFT.

Results
Calculated total energy (eV/atom): -4.169
ΔE to the lowest computed polymorph (eV per atom): 0.3673
ΔE_f (raw) (eV/f.u.): 2.2
SG: Cmm2

Lattice parameters (Å, degrees): 2.812 2.812 8.317 90.00 90.00 118.20
Element x y z (fractional)
Cr (0.500, 0.500, 0.775)
Be (0.000, 0.000, 0.988)
Be (0.500, 0.500, 0.173)
Cl (0.000, 0.000, 0.563)